Entry 1:
## SmTaMo (PBE)

Data for SmTaMo after structural relaxation.

The structure in POSCAR format:
```
SmTaMo
1.0
0.000 3.273 3.273
3.273 0.000 3.273
3.273 3.273 0.000
Sm Ta Mo
1 1 1
direct
0.000 0.000 0.000 Sm
0.250 0.250 0.250 Ta
0.750 0.750 0.750 Mo
```

The calculation puts the calculated density at 10.1 g/cm3. The calculation puts the calculated volume at 23.38 Å³/atom. Its space group is F-43m, No. 216. As for the total energy: -7.35 eV/atom.

Entry 2:
## SmThMo (PBE)

Data for SmThMo after structural relaxation.

The structure in POSCAR format:
```
SmThMo
1.0
0.000 3.503 3.503
3.503 0.000 3.503
3.503 3.503 0.000
Sm Th Mo
1 1 1
direct
0.000 0.000 0.000 Sm
0.750 0.750 0.750 Th
0.500 0.500 0.500 Mo
```

The calculation puts the calculated density at 9.2 g/cm3. The calculation puts the calculated volume at 28.66 Å³/atom. Its space group is F-43m, No. 216. As for the total energy: -6.50 eV/atom.

Entry 3:
## SmUMo (PBE)

Data for SmUMo after structural relaxation.

The structure in POSCAR format:
```
SmUMo
1.0
0.000 3.378 3.378
3.378 0.000 3.378
3.378 3.378 0.000
Sm U Mo
1 1 1
direct
0.000 0.000 0.000 Sm
0.500 0.500 0.500 U
0.250 0.250 0.250 Mo
```

The calculation puts the calculated density at 10.4 g/cm3. The calculation puts the calculated volume at 25.69 Å³/atom. Its space group is F-43m, No. 216. As for the total energy: -8.12 eV/atom.